1.
Density functional theory data (PBE) for crystalline CuSi2As at its relaxed geometry.

Summary:
Its space group is F-43m (216). As for the calculated total energy: -4.32 eV per atom. Its theoretical density is 5255 kg/m³.

Lattice parameters (Å, degrees): 4.431 4.431 4.431 60.00 60.00 60.00
Atoms (fractional coordinates):
As1 0.500 0.500 0.500
Si1 0.750 0.750 0.750
Si2 0.000 0.000 0.000
Cu1 0.250 0.250 0.250


2.
Density functional theory data (PBE) for crystalline HfAlFeCu at its relaxed geometry.

Summary:
The value obtained for the spin magnetization is 0.342 μB/atom. Its space group is P-3m1 (164). As for the calculated total energy: -6.70 eV per atom. Its theoretical density is 8965 kg/m³.

Lattice parameters (Å, degrees): 4.168 4.168 7.998 90.00 90.00 120.00
Atoms (fractional coordinates):
Hf1 0.667 0.333 0.740
Hf2 0.333 0.667 0.260
Cu1 0.667 0.333 0.088
Cu2 0.333 0.667 0.912
Fe1 0.333 0.667 0.576
Fe2 0.667 0.333 0.424
Al1 0.000 0.000 0.500
Al2 0.000 0.000 0.000


What is the theoretical density in the second record?
8965 kg/m³


The lowest theoretical density belongs to which entry?
CuSi2As


Look up the theoretical density of the second one.
8965 kg/m³


Please write out number 2 again, unchanged.
Density functional theory data (PBE) for crystalline HfAlFeCu at its relaxed geometry.

Summary:
The value obtained for the spin magnetization is 0.342 μB/atom. Its space group is P-3m1 (164). As for the calculated total energy: -6.70 eV per atom. Its theoretical density is 8965 kg/m³.

Lattice parameters (Å, degrees): 4.168 4.168 7.998 90.00 90.00 120.00
Atoms (fractional coordinates):
Hf1 0.667 0.333 0.740
Hf2 0.333 0.667 0.260
Cu1 0.667 0.333 0.088
Cu2 0.333 0.667 0.912
Fe1 0.333 0.667 0.576
Fe2 0.667 0.333 0.424
Al1 0.000 0.000 0.500
Al2 0.000 0.000 0.000